1.
InAgSe2N PBE-GGA optimized geometry; Fermi-level density of states = 8.82 states/eV per cell; volume = 124.88 Å³/f.u.
1.0
5.494 0.000 0.000
0.000 5.494 0.000
0.000 0.000 4.137
In Ag Se N
1 1 2 1
Direct
0.000 0.000 0.000
0.500 0.500 0.500
0.000 0.500 0.000
0.500 0.000 0.000
0.000 0.000 0.500

=====

2.
Sr2InAgN PBE-GGA optimized geometry; Fermi-level density of states = 3.16 states/eV per cell; volume = 126.29 Å³/f.u.
1.0
5.354 0.000 0.000
0.000 5.354 0.000
0.000 0.000 4.405
Sr In Ag N
2 1 1 1
Direct
0.000 0.500 0.000
0.500 0.000 0.000
0.000 0.000 0.500
0.500 0.500 0.500
0.500 0.500 0.000

=====

3.
InAgTeN2 PBE-GGA optimized geometry; Fermi-level density of states = 2.14 states/eV per cell; volume = 115.27 Å³/f.u.
1.0
4.270 0.000 0.000
0.000 4.270 0.000
0.000 0.000 6.322
In Ag Te N
1 1 1 2
Direct
0.000 0.000 0.000
0.500 0.500 0.500
0.000 0.000 0.500
0.000 0.500 0.000
0.500 0.000 0.000

=====

no.,spin magnetization (μB/atom),uncorrected formation energy (meV/atom)
1,0.0928,1014
2,0.0000,-198
3,0.7191,1372